Record 1
Compound: Mg2ZrSi
Source: Alexandria
Functional: PBE
Structure: optimized geometry

calculated total energy: -4.361 eV per atom
D(E_F): 2.82 states/eV/f.u.

Lattice parameters (Å, degrees): 3.2681 3.2681 7.4772 90.00 90.00 90.00
Space group P4mm (No. 99)
Asymmetric unit:
Mg1 0.0000 0.0000 0.0000
Mg2 0.5000 0.5000 0.2712
Zr1 0.5000 0.5000 0.7118
Si1 0.0000 0.0000 0.4858

Record 2
Compound: Mg2ZrSi
Source: Alexandria
Functional: PBE
Structure: optimized geometry

calculated total energy: -4.285 eV per atom
D(E_F): 2.47 states/eV/f.u.

Lattice parameters (Å, degrees): 5.6286 9.7198 2.9492 90.00 90.00 90.00
Space group Cmmm (No. 65)
Asymmetric unit:
Mg1 0.2500 0.2500 0.0000
Zr1 0.0000 0.0000 0.5000
Si1 0.0000 0.5000 0.5000

Record 3
Compound: Mg2ZrSi
Source: Alexandria
Functional: PBE
Structure: optimized geometry

calculated total energy: -4.465 eV per atom
D(E_F): 2.32 states/eV/f.u.

Lattice parameters (Å, degrees): 3.5802 3.8869 6.2604 90.00 106.53 90.00
Space group Pm (No. 6)
Asymmetric unit:
Mg1 0.0000 0.0000 0.0000
Mg2 0.3793 0.5000 0.7616
Zr1 0.7223 0.0000 0.4453
Si1 0.1602 0.5000 0.3215

Record 4
Compound: Mg2ZrSi
Source: Alexandria
Functional: PBE
Structure: optimized geometry

calculated total energy: -4.498 eV per atom
D(E_F): 1.51 states/eV/f.u.

Lattice parameters (Å, degrees): 3.9299 3.9299 10.1932 90.00 90.00 90.00
Space group I4/mmm (No. 139)
Asymmetric unit:
Mg1 0.0000 0.5000 0.2500
Zr1 0.0000 0.0000 0.0000
Si1 0.0000 0.0000 0.5000

Record 5
Compound: Mg2ZrSi
Source: Alexandria
Functional: PBE
Structure: optimized geometry

calculated total energy: -4.542 eV per atom
D(E_F): 1.99 states/eV/f.u.

Lattice parameters (Å, degrees): 4.1044 4.1044 4.4495 90.00 90.00 90.00
Space group P4/mmm (No. 123)
Asymmetric unit:
Mg1 0.0000 0.5000 0.0000
Zr1 0.0000 0.0000 0.5000
Si1 0.5000 0.5000 0.5000

Record 6
Compound: Mg14ZrSi
Source: Alexandria
Functional: PBE
Structure: optimized geometry

calculated total energy: -2.263 eV per atom
D(E_F): 6.97 states/eV/f.u.
energy relative to the lowest polymorph listed for this composition: 0.0 kJ per mole of atoms

Lattice parameters (Å, degrees): 10.2939 6.1267 11.0771 90.00 90.00 90.00
Space group Amm2 (No. 38)
Asymmetric unit:
Mg1 0.0000 0.0000 0.0000
Mg2 0.0000 0.0000 0.4981
Mg3 0.0000 0.2480 0.2492
Mg4 0.2482 0.0000 0.6603
Mg5 0.2547 0.2484 0.4130
Mg6 0.2629 0.0000 0.1572
Mg7 0.5000 0.2450 0.7532
Zr1 0.5000 0.0000 0.5037
Si1 0.5000 0.0000 0.9975

Record 7
Compound: Mg2ZrSi
Source: Alexandria
Functional: PBE
Structure: optimized geometry

calculated total energy: -4.224 eV per atom
D(E_F): 3.13 states/eV/f.u.

Lattice parameters (Å, degrees): 3.0344 3.0344 8.6719 90.00 90.00 90.00
Space group P4/mmm (No. 123)
Asymmetric unit:
Mg1 0.0000 0.0000 0.2204
Zr1 0.5000 0.5000 0.5000
Si1 0.5000 0.5000 0.0000

Record 8
Compound: Mg2ZrSi
Source: Alexandria
Functional: PBE
Structure: optimized geometry

calculated total energy: -4.263 eV per atom
D(E_F): 3.23 states/eV/f.u.

Lattice parameters (Å, degrees): 3.1997 4.2959 5.7611 90.00 90.00 90.00
Space group Pmmm (No. 47)
Asymmetric unit:
Mg1 0.0000 0.0000 0.2440
Zr1 0.5000 0.5000 0.5000
Si1 0.5000 0.5000 0.0000